No. 1
Below is an optimized crystal structure of La2AlNiC, with properties calculated at the PBE level.

It has space group P4/mmm (No. 123), with a = 5.427 Å, b = 5.427 Å, c = 3.670 Å, α = 90.00°, β = 90.00° and γ = 90.00°. The inequivalent atoms are La at (0.000, 0.500, 0.000), Al at (0.000, 0.000, 0.500), Ni at (0.500, 0.500, 0.500) and C at (0.500, 0.500, 0.000).

Its formation energy is -0.206 eV per atom. Its calculated density is 5.8 Mg/m³.

=====

No. 2
Below is an optimized crystal structure of LaAl2Os2C, with properties calculated at the PBE level.

It has space group P4/mmm (No. 123), with a = 4.164 Å, b = 4.164 Å, c = 5.729 Å, α = 90.00°, β = 90.00° and γ = 90.00°. The inequivalent atoms are La at (0.000, 0.000, 0.000), Al at (0.500, 0.500, 0.231), Os at (0.000, 0.500, 0.500) and C at (0.000, 0.000, 0.500).

Its formation energy is -0.304 eV per atom. Its calculated density is 9.8 Mg/m³.

=====

No. 3
Below is an optimized crystal structure of LaAlOs2C, with properties calculated at the PBE level.

It has space group P4/mmm (No. 123), with a = 4.146 Å, b = 4.146 Å, c = 4.955 Å, α = 90.00°, β = 90.00° and γ = 90.00°. The inequivalent atoms are La at (0.000, 0.000, 0.000), Al at (0.500, 0.500, 0.000), Os at (0.000, 0.500, 0.500) and C at (0.000, 0.000, 0.500).

Its formation energy is 0.390 eV per atom. The energy above the most stable polymorph in this dataset comes out at 700 meV/atom. Its calculated density is 10.9 Mg/m³.

=====

Look up the calculated density of the third one. 10.9 Mg/m³

=====

Among the records above, which one has the highest calculated density? LaAlOs2C

=====

calculated density of number 2 (LaAl2Os2C)? 9.8 Mg/m³

=====

calculated density of number 2 (LaAl2Os2C)? 9.8 Mg/m³